## Rb2V3Br8 (PBE-GGA)

Data for Rb2V3Br8 after structural relaxation.

Cell: 16.3902 7.9746 6.9151 Å, 90.00 106.93 90.00°
Space group C2/m (No. 12)
One atom of each set of equivalent atoms:
Rb 0.2381 0.0000 0.1735 x4
V 0.0000 0.2474 0.5000 x4
V 0.0000 0.5000 0.0000 x2
Br 0.0904 0.2675 0.8853 x8
Br 0.0898 0.5000 0.3927 x4
Br 0.0978 0.0000 0.4461 x4

Output
Its total energy is -4.3543 eV/atom. The formation energy from raw total energies is -1.07 eV per atom.